V3CoP4O16: relaxed, GGA+U.

Calculated values
Space group   Pm (6)
Calculated volume   11.99 Å³ per atom
Total energy   -7.42 eV per atom
Crystal system   monoclinic
Magnetization   7.995 Bohr magnetons per cell

Lattice parameters (Å, degrees): 5.868 4.900 10.008 89.27 90.00 90.00
Site moments in Bohr magnetons follow the coordinates.
Fractional positions:
1 O 0.000 0.849 0.448  0.02
2 O 0.500 0.807 0.369  0.00
3 O 0.789 0.712 0.167  -0.02
4 O 0.704 0.252 0.835  -0.01
5 O 0.205 0.756 0.671  -0.01
6 O 0.296 0.252 0.835  -0.01
7 O 0.500 0.147 0.551  -0.01
8 O 0.300 0.273 0.328  0.02
9 O 0.000 0.210 0.626  -0.01
10 O 0.000 0.656 0.947  -0.01
11 O 0.700 0.273 0.328  0.02
12 O 0.795 0.756 0.671  -0.01
13 O 0.500 0.705 0.882  -0.01
14 O 0.000 0.266 0.112  0.02
15 O 0.211 0.712 0.167  -0.02
16 O 0.500 0.333 0.059  -0.01
17 P 0.500 0.113 0.400  0.01
18 P 0.000 0.571 0.093  0.01
19 P 0.500 0.399 0.908  0.01
20 P 0.000 0.906 0.596  0.01
21 Co 0.000 0.058 0.280  2.74
22 V 0.500 0.970 0.731  1.92
23 V 0.500 0.553 0.221  1.12
24 V 0.000 0.471 0.771  1.91